Compound: Ce2PrDy
Source: the Alexandria database
Functional: GGA-PBE
Structure: relaxed Values from VASP.

```
&SYSTEM
  ibrav = 0, nat = 4, ntyp = 3
/
ATOMIC_SPECIES
Ce 140.12 Ce.upf
Pr 140.91 Pr.upf
Dy 162.50 Dy.upf
CELL_PARAMETERS angstrom
3.562 0.000 0.000
1.781 3.084 0.000
1.781 1.028 11.150
ATOMIC_POSITIONS angstrom
Ce 1.781 1.028 8.303
Ce 1.781 1.028 2.858
Pr 5.342 3.084 11.118
Dy 3.562 2.056 5.594
```

Results
Its uncorrected energy is -5.191 eV per atom. The formation energy comes out at 0.1210 eV/atom.